! Tl2HgIrI, relaxed, DFT PBEsol; values from VASP
&SYSTEM
  ibrav = 0, nat = 5, ntyp = 4
/
ATOMIC_SPECIES
Tl 204.38 Tl.upf
Hg 200.59 Hg.upf
Ir 192.22 Ir.upf
I 126.90 I.upf
ATOMIC_POSITIONS angstrom
Tl 0.000 3.104 0.000
Tl 3.104 0.000 0.000
Hg 0.000 0.000 2.750
Ir 3.104 3.104 2.750
I 0.000 0.000 0.000
CELL_PARAMETERS angstrom
6.209 0.000 0.000
0.000 6.209 0.000
0.000 0.000 5.499
! calculated density: 7.3 g/cm3
! M_tot: 1.64 μB per cell
! calculated total energy: -1.94 eV per atom
! formation energy from raw total energies: 1546 meV per atom